A:
The following is a DFT calculation (PBE) of crystalline TlNiSbTe2 at its relaxed geometry.

Values from the calculation:
symmetry = P4/mmm (123)
DOS at the Fermi energy = 12.5 states/eV per cell
theoretical density = 5.65 g/cm3
calculated volume = 188 Å³/cell

```
TlNiSbTe2
1.0
5.806 0.000 0.000
0.000 5.806 0.000
0.000 0.000 5.580
Tl Ni Sb Te
1 1 1 2
direct
0.000 0.000 0.000 Tl
0.500 0.500 0.500 Ni
0.000 0.000 0.500 Sb
0.000 0.500 0.000 Te
0.500 0.000 0.000 Te
```



B:
The following is a DFT calculation (PBE) of crystalline TlNiSbTe2 at its relaxed geometry.

Values from the calculation:
symmetry = P4/mmm (123)
DOS at the Fermi energy = 4.0 states/eV per cell
theoretical density = 7.46 g/cm3
calculated volume = 143 Å³/cell

```
TlNiSbTe2
1.0
5.449 0.000 0.000
0.000 5.449 0.000
0.000 0.000 4.801
Tl Ni Sb Te
1 1 1 2
direct
0.000 0.000 0.000 Tl
0.500 0.500 0.500 Ni
0.500 0.500 0.000 Sb
0.000 0.500 0.500 Te
0.500 0.000 0.500 Te
```



B comes first in stability; the runner-up is 1197 meV per atom higher.



A:
The following is a DFT calculation (PBE) of crystalline VNiSb2Te at its relaxed geometry.

Values from the calculation:
symmetry = P4/mmm (123)
DOS at the Fermi energy = 3.7 states/eV per cell
theoretical density = 6.15 g/cm3
calculated volume = 130 Å³/cell

```
VNiSb2Te
1.0
5.069 0.000 0.000
0.000 5.069 0.000
0.000 0.000 5.054
V Ni Sb Te
1 1 2 1
direct
0.000 0.000 0.000 V
0.500 0.500 0.500 Ni
0.000 0.500 0.000 Sb
0.500 0.000 0.000 Sb
0.000 0.000 0.500 Te
```



B:
The following is a DFT calculation (PBE) of crystalline VNiSb2Te at its relaxed geometry.

Values from the calculation:
symmetry = P4/mmm (123)
DOS at the Fermi energy = 5.9 states/eV per cell
theoretical density = 6.39 g/cm3
calculated volume = 125 Å³/cell

```
VNiSb2Te
1.0
4.873 0.000 0.000
0.000 4.873 0.000
0.000 0.000 5.266
V Ni Sb Te
1 1 2 1
direct
0.000 0.000 0.000 V
0.500 0.500 0.500 Ni
0.000 0.500 0.500 Sb
0.500 0.000 0.500 Sb
0.500 0.500 0.000 Te
```



B comes first in stability; the runner-up is 148 meV per atom higher.



A:
The following is a DFT calculation (PBE) of crystalline VNiSbTe2 at its relaxed geometry.

Values from the calculation:
symmetry = P4/mmm (123)
DOS at the Fermi energy = 6.6 states/eV per cell
theoretical density = 6.08 g/cm3
calculated volume = 133 Å³/cell

```
VNiSbTe2
1.0
5.105 0.000 0.000
0.000 5.105 0.000
0.000 0.000 5.103
V Ni Sb Te
1 1 1 2
direct
0.000 0.000 0.000 V
0.500 0.500 0.500 Ni
0.000 0.000 0.500 Sb
0.000 0.500 0.000 Te
0.500 0.000 0.000 Te
```



B:
The following is a DFT calculation (PBE) of crystalline VNiSbTe2 at its relaxed geometry.

Values from the calculation:
symmetry = P4/mmm (123)
DOS at the Fermi energy = 8.6 states/eV per cell
theoretical density = 6.54 g/cm3
calculated volume = 124 Å³/cell

```
VNiSbTe2
1.0
5.095 0.000 0.000
0.000 5.095 0.000
0.000 0.000 4.761
V Ni Sb Te
1 1 1 2
direct
0.000 0.000 0.000 V
0.500 0.500 0.500 Ni
0.500 0.500 0.000 Sb
0.000 0.500 0.500 Te
0.500 0.000 0.500 Te
```



A comes first in stability; the runner-up is 61 meV per atom higher.



A:
The following is a DFT calculation (PBE) of crystalline NiSb2TeW at its relaxed geometry.

Values from the calculation:
symmetry = P4/mmm (123)
DOS at the Fermi energy = 2.8 states/eV per cell
theoretical density = 8.53 g/cm3
calculated volume = 120 Å³/cell

```
NiSb2TeW
1.0
4.860 0.000 0.000
0.000 4.860 0.000
0.000 0.000 5.061
Ni Sb Te W
1 2 1 1
direct
0.000 0.000 0.000 Ni
0.000 0.500 0.000 Sb
0.500 0.000 0.000 Sb
0.000 0.000 0.500 Te
0.500 0.500 0.500 W
```



B:
The following is a DFT calculation (PBE) of crystalline NiSb2TeW at its relaxed geometry.

Values from the calculation:
symmetry = P4/mmm (123)
DOS at the Fermi energy = 7.6 states/eV per cell
theoretical density = 7.12 g/cm3
calculated volume = 143 Å³/cell

```
NiSb2TeW
1.0
5.242 0.000 0.000
0.000 5.242 0.000
0.000 0.000 5.206
Ni Sb Te W
1 2 1 1
direct
0.000 0.000 0.000 Ni
0.000 0.500 0.500 Sb
0.500 0.000 0.500 Sb
0.500 0.500 0.000 Te
0.500 0.500 0.500 W
```



A comes first in stability; the runner-up is 10 meV per atom higher.



A:
The following is a DFT calculation (PBE) of crystalline ThNi3Sb3 at its relaxed geometry.

Values from the calculation:
symmetry = R-3 (148)
DOS at the Fermi energy = 10.3 states/eV per cell
theoretical density = 8.17 g/cm3
calculated volume = 314 Å³/cell

```
ThNi3Sb3
1.0
3.753 2.167 6.445
-3.753 2.167 6.445
0.000 -4.334 6.445
Th Ni Sb
2 6 6
direct
0.169 0.169 0.169 Th
0.831 0.831 0.831 Th
0.039 0.766 0.408 Ni
0.234 0.592 0.961 Ni
0.408 0.039 0.766 Ni
0.592 0.961 0.234 Ni
0.766 0.408 0.039 Ni
0.961 0.234 0.592 Ni
0.102 0.394 0.699 Sb
0.301 0.898 0.606 Sb
0.394 0.699 0.102 Sb
0.606 0.301 0.898 Sb
0.699 0.102 0.394 Sb
0.898 0.606 0.301 Sb
```



B:
The following is a DFT calculation (PBE) of crystalline ThNi3Sb3 at its relaxed geometry.

Values from the calculation:
symmetry = Pm-3n (223)
DOS at the Fermi energy = 11.1 states/eV per cell
theoretical density = 8.10 g/cm3
calculated volume = 317 Å³/cell

```
ThNi3Sb3
1.0
6.820 0.000 0.000
0.000 6.820 0.000
0.000 0.000 6.820
Th Ni Sb
2 6 6
direct
0.000 0.000 0.000 Th
0.500 0.500 0.500 Th
0.000 0.250 0.500 Ni
0.000 0.750 0.500 Ni
0.250 0.500 0.000 Ni
0.500 0.000 0.250 Ni
0.500 0.000 0.750 Ni
0.750 0.500 0.000 Ni
0.000 0.500 0.250 Sb
0.000 0.500 0.750 Sb
0.250 0.000 0.500 Sb
0.500 0.250 0.000 Sb
0.500 0.750 0.000 Sb
0.750 0.000 0.500 Sb
```



A comes first in stability; the runner-up is 207 meV per atom higher.



A:
The following is a DFT calculation (PBE) of crystalline TiNiSb3 at its relaxed geometry.

Values from the calculation:
symmetry = Pm-3m (221)
DOS at the Fermi energy = 6.1 states/eV per cell
theoretical density = 6.46 g/cm3
calculated volume = 121 Å³/cell

```
TiNiSb3
1.0
4.949 0.000 0.000
0.000 4.949 0.000
0.000 0.000 4.949
Ti Ni Sb
1 1 3
direct
0.000 0.000 0.000 Ti
0.500 0.500 0.500 Ni
0.000 0.500 0.500 Sb
0.500 0.000 0.500 Sb
0.500 0.500 0.000 Sb
```



B:
The following is a DFT calculation (PBE) of crystalline TiNiSb3 at its relaxed geometry.

Values from the calculation:
symmetry = Pm-3m (221)
DOS at the Fermi energy = 4.4 states/eV per cell
theoretical density = 5.62 g/cm3
calculated volume = 139 Å³/cell

```
TiNiSb3
1.0
5.186 0.000 0.000
0.000 5.186 0.000
0.000 0.000 5.186
Ti Ni Sb
1 1 3
direct
0.000 0.000 0.000 Ti
0.500 0.500 0.500 Ni
0.000 0.000 0.500 Sb
0.000 0.500 0.000 Sb
0.500 0.000 0.000 Sb
```



A comes first in stability; the runner-up is 174 meV per atom higher.